1.
Compound: NaSrAs3
Source: the Alexandria database
Functional: PBE
Structure: optimized geometry

The electronic total energy is -14.3 eV per cell. Its calculated formation energy is 0.531 eV per atom.

The space group is Pm-3m (No. 221) and the conventional cell measures 5.705, 5.705 and 5.705 Å, with angles of 90.00, 90.00 and 90.00 degrees. The distinct sites, in fractional coordinates, are Na at (0.000, 0.000, 0.000), Sr at (0.500, 0.500, 0.500) and As at (0.000, 0.500, 0.500).



2.
Compound: CaGe3Cl8
Source: the Alexandria database
Functional: PBE
Structure: optimized geometry

Its formation energy from raw total energies is -1.15 eV per atom. The electronic total energy is -88.9 eV per cell.

The space group is Cm (No. 8) and the conventional cell measures 16.835, 5.399 and 9.120 Å, with angles of 90.00, 112.83 and 90.00 degrees. The distinct sites, in fractional coordinates, are Ca at (0.000, 0.000, 0.000), Ge at (0.103, 0.000, 0.578), Ge at (0.308, 0.000, 0.002), Ge at (0.424, 0.000, 0.605), Cl at (0.069, 0.500, 0.584), Cl at (0.105, 0.000, 0.321), Cl at (0.154, 0.000, 0.949), Cl at (0.261, 0.000, 0.693), Cl at (0.338, 0.500, 0.012), Cl at (0.345, 0.000, 0.334), Cl at (0.432, 0.500, 0.663) and Cl at (0.484, 0.000, 0.993).



3.
Compound: BaAs2PdSe8
Source: the Alexandria database
Functional: PBE
Structure: optimized geometry

Its formation energy from raw total energies is -0.35 eV per atom. The electronic total energy is -48.5 eV per cell.

The space group is P-3 (No. 147) and the conventional cell measures 6.1200, 6.1200 and 9.4063 Å, with angles of 90.00, 90.00 and 120.00 degrees. The distinct sites, in fractional coordinates, are Ba at (0.0000, 0.0000, 0.0000), As at (0.3333, 0.6667, 0.7452), Pd at (0.0000, 0.0000, 0.5000), Se at (0.0683, 0.7075, 0.3301) and Se at (0.3333, 0.6667, 0.9919).



4.
Compound: Tb6C2N
Source: the Alexandria database
Functional: PBE
Structure: optimized geometry

Its formation energy from raw total energies is -0.53 eV per atom. The electronic total energy is -118.7 eV per cell.

The space group is C2/m (No. 12) and the conventional cell measures 16.040, 3.578 and 7.388 Å, with angles of 90.00, 106.06 and 90.00 degrees. The distinct sites, in fractional coordinates, are Tb at (0.006, 0.000, 0.231), Tb at (0.159, 0.500, 0.096), Tb at (0.172, 0.500, 0.567), C at (0.164, 0.000, 0.329) and N at (0.000, 0.500, 0.000).



5.
Compound: SrCrPd
Source: the Alexandria database
Functional: PBE
Structure: optimized geometry

The electronic total energy is -32.1 eV per cell. Its calculated formation energy is 0.154 eV per atom.

The space group is P1 (No. 1) and the conventional cell measures 4.249, 6.104 and 6.180 Å, with angles of 97.88, 109.33 and 102.22 degrees. The distinct sites, in fractional coordinates, are Sr at (0.000, 0.000, 0.000), Sr at (0.462, 0.406, 0.680), Cr at (0.440, 0.622, 0.221), Cr at (0.763, 0.468, 0.263), Pd at (0.213, 0.834, 0.524) and Pd at (0.724, 0.077, 0.403).



6.
Compound: K2Si3SnO9
Source: the Alexandria database
Functional: PBE
Structure: optimized geometry

Its formation energy from raw total energies is -2.45 eV per atom. The electronic total energy is -207.8 eV per cell.

The space group is P6_3/m (No. 176) and the conventional cell measures 6.9678, 6.9678 and 10.1707 Å, with angles of 90.00, 90.00 and 120.00 degrees. The distinct sites, in fractional coordinates, are K at (0.3333, 0.6667, 0.0570), Si at (0.1288, 0.3828, 0.7500), Sn at (0.0000, 0.0000, 0.0000), O at (0.0189, 0.2554, 0.6136) and O at (0.0861, 0.5986, 0.7500).



7.
Compound: NpH3O6
Source: the Alexandria database
Functional: PBE
Structure: optimized geometry

The electronic total energy is -124.6 eV per cell.

The space group is P-1 (No. 2) and the conventional cell measures 5.746, 6.101 and 8.122 Å, with angles of 111.08, 91.07 and 96.90 degrees. The distinct sites, in fractional coordinates, are Np at (0.000, 0.000, 0.000), Np at (0.000, 0.500, 0.500), H at (0.216, 0.275, 0.026), H at (0.237, 0.980, 0.705), H at (0.477, 0.292, 0.625), O at (0.130, 0.863, 0.740), O at (0.144, 0.310, 0.642), O at (0.182, 0.755, 0.071), O at (0.269, 0.522, 0.390), O at (0.329, 0.969, 0.119) and O at (0.334, 0.172, 0.595).



8.
Compound: BaY2In2
Source: the Alexandria database
Functional: PBE
Structure: optimized geometry

The electronic total energy is -43.3 eV per cell. Its calculated formation energy is -0.267 eV per atom.

The space group is I4/mmm (No. 139) and the conventional cell measures 5.032, 5.032 and 13.871 Å, with angles of 90.00, 90.00 and 90.00 degrees. The distinct sites, in fractional coordinates, are Ba at (0.000, 0.000, 0.000), Y at (0.000, 0.500, 0.250) and In at (0.000, 0.000, 0.395).



> What is the electronic total energy in the second record?

-88.9 eV per cell